*P*
## Ta6Ti2Mo (GGA-PBE)

Data for Ta6Ti2Mo after structural relaxation. Values from VASP.

Cell and atoms, written as Quantum ESPRESSO input:
```
&SYSTEM
  ibrav = 0, nat = 9, ntyp = 3
/
ATOMIC_SPECIES
Ta 180.95 Ta.upf
Ti 47.87 Ti.upf
Mo 95.94 Mo.upf
ATOMIC_POSITIONS angstrom
Ta 0.085 1.551 2.219
Ta 2.376 -1.548 4.340
Ta 2.376 1.548 4.340
Ta 2.204 1.544 -0.085
Ta 0.085 4.648 2.219
Ta 2.204 4.655 -0.085
Ti 2.287 3.099 2.128
Ti 0.174 0.000 4.430
Mo 0.000 0.000 0.000
CELL_PARAMETERS angstrom
4.408 0.000 -0.171
0.000 6.199 0.000
-1.947 -3.099 6.730
```

Values from the calculation:
ρ, kg/m3: 11667
Magnetic moment, μB/cell: 0.00
Space group: No. 71



*Q*
## Ta6Ti2Mo (GGA-PBE)

Data for Ta6Ti2Mo after structural relaxation. Values from VASP.

Cell and atoms, written as Quantum ESPRESSO input:
```
&SYSTEM
  ibrav = 0, nat = 18, ntyp = 3
/
ATOMIC_SPECIES
Ta 180.95 Ta.upf
Ti 47.87 Ti.upf
Mo 95.94 Mo.upf
ATOMIC_POSITIONS angstrom
Ta 0.114 -1.828 7.505
Ta -0.897 0.564 5.814
Ta -0.800 1.465 0.738
Ta -2.179 2.627 6.791
Ta 4.817 3.261 8.908
Ta 4.221 1.825 6.227
Ta 0.460 4.832 3.373
Ta 1.471 2.440 5.064
Ta 1.374 1.538 10.141
Ta 2.753 0.376 4.087
Ta -4.243 -0.258 1.970
Ta -3.647 1.179 4.652
Ti -0.785 2.106 3.452
Ti -1.885 -0.862 3.340
Ti 2.459 3.865 7.538
Ti 1.359 0.898 7.426
Mo -3.205 2.027 1.944
Mo 0.576 -1.166 4.749
CELL_PARAMETERS angstrom
-0.579 5.335 1.380
-5.831 -1.281 2.508
6.984 -1.050 6.991
```

Values from the calculation:
ρ, kg/m3: 12651
Magnetic moment, μB/cell: 0.00
Space group: No. 14



Which structure is most stable? *Q*, by 543 meV per atom over the runner-up.



*P*
## Ta2TlMo (GGA-PBE)

Data for Ta2TlMo after structural relaxation. Values from VASP.

Cell and atoms, written as Quantum ESPRESSO input:
```
&SYSTEM
  ibrav = 0, nat = 4, ntyp = 3
/
ATOMIC_SPECIES
Mo 95.94 Mo.upf
Ta 180.95 Ta.upf
Tl 204.38 Tl.upf
ATOMIC_POSITIONS angstrom
Mo 1.683 1.683 4.954
Ta 0.000 0.000 6.395
Ta 0.000 0.000 3.512
Tl 1.683 1.683 1.651
CELL_PARAMETERS angstrom
3.366 0.000 0.000
0.000 3.366 0.000
0.000 0.000 6.605
```

Values from the calculation:
ρ, kg/m3: 14692
Magnetic moment, μB/cell: 0.00
Space group: No. 123



*Q*
## Ta2TlMo (GGA-PBE)

Data for Ta2TlMo after structural relaxation. Values from VASP.

Cell and atoms, written as Quantum ESPRESSO input:
```
&SYSTEM
  ibrav = 0, nat = 4, ntyp = 3
/
ATOMIC_SPECIES
Mo 95.94 Mo.upf
Ta 180.95 Ta.upf
Tl 204.38 Tl.upf
ATOMIC_POSITIONS angstrom
Mo 1.599 3.708 3.765
Ta 0.073 5.777 2.669
Ta 1.559 0.505 2.285
Tl 0.037 2.941 1.359
CELL_PARAMETERS angstrom
-0.320 -1.425 3.093
3.405 -0.170 0.274
0.073 5.810 2.684
```

Values from the calculation:
ρ, kg/m3: 14686
Magnetic moment, μB/cell: 0.00
Space group: No. 99



Which structure is most stable? *P*, by 37 meV per atom over the runner-up.



*P*
## Ta2TlMo (GGA-PBE)

Data for Ta2TlMo after structural relaxation. Values from VASP.

Cell and atoms, written as Quantum ESPRESSO input:
```
&SYSTEM
  ibrav = 0, nat = 4, ntyp = 3
/
ATOMIC_SPECIES
Mo 95.94 Mo.upf
Ta 180.95 Ta.upf
Tl 204.38 Tl.upf
ATOMIC_POSITIONS angstrom
Mo 2.266 3.315 4.267
Ta 0.000 4.289 5.543
Ta 0.000 2.341 2.991
Tl 2.266 1.105 1.422
CELL_PARAMETERS angstrom
4.532 0.000 0.000
0.000 2.914 0.006
0.000 1.506 5.684
```

Values from the calculation:
ρ, kg/m3: 14659
Magnetic moment, μB/cell: 0.00
Space group: No. 10



*Q*
## Ta2TlMo (GGA-PBE)

Data for Ta2TlMo after structural relaxation. Values from VASP.

Cell and atoms, written as Quantum ESPRESSO input:
```
&SYSTEM
  ibrav = 0, nat = 4, ntyp = 3
/
ATOMIC_SPECIES
Mo 95.94 Mo.upf
Ta 180.95 Ta.upf
Tl 204.38 Tl.upf
ATOMIC_POSITIONS angstrom
Mo 1.350 2.112 1.398
Ta 0.140 0.090 0.000
Ta 3.693 2.360 0.000
Tl 2.917 -0.341 1.399
CELL_PARAMETERS angstrom
5.400 -0.003 0.001
2.265 4.902 -0.001
-3.399 -3.128 2.797
```

Values from the calculation:
ρ, kg/m3: 14846
Magnetic moment, μB/cell: 0.00
Space group: No. 71



*R*
## Ta2TlMo (GGA-PBE)

Data for Ta2TlMo after structural relaxation. Values from VASP.

Cell and atoms, written as Quantum ESPRESSO input:
```
&SYSTEM
  ibrav = 0, nat = 4, ntyp = 3
/
ATOMIC_SPECIES
Tl 204.38 Tl.upf
Mo 95.94 Mo.upf
Ta 180.95 Ta.upf
ATOMIC_POSITIONS angstrom
Tl 3.337 3.337 3.337
Mo 0.000 0.000 0.000
Ta 1.668 1.668 1.668
Ta 5.005 5.005 5.005
CELL_PARAMETERS angstrom
0.000 3.337 3.337
3.337 0.000 3.337
3.337 3.337 0.000
```

Values from the calculation:
ρ, kg/m3: 14801
Magnetic moment, μB/cell: 0.00
Space group: No. 225



Which structure is most stable? *Q*, by 48 meV per atom over the runner-up.



*P*
## UTaMo2 (GGA-PBE)

Data for UTaMo2 after structural relaxation. Values from VASP.

Cell and atoms, written as Quantum ESPRESSO input:
```
&SYSTEM
  ibrav = 0, nat = 4, ntyp = 3
/
ATOMIC_SPECIES
Mo 95.94 Mo.upf
U 238.03 U.upf
Ta 180.95 Ta.upf
ATOMIC_POSITIONS angstrom
Mo 2.332 1.347 0.952
Mo 6.997 4.040 2.856
U 0.000 0.000 0.000
Ta 4.664 2.693 1.904
CELL_PARAMETERS angstrom
4.664 0.000 0.000
2.332 4.040 0.000
2.332 1.347 3.809
```

Values from the calculation:
ρ, kg/m3: 14135
Magnetic moment, μB/cell: 0.19
Space group: No. 225



*Q*
## UTaMo2 (GGA-PBE)

Data for UTaMo2 after structural relaxation. Values from VASP.

Cell and atoms, written as Quantum ESPRESSO input:
```
&SYSTEM
  ibrav = 0, nat = 4, ntyp = 3
/
ATOMIC_SPECIES
Mo 95.94 Mo.upf
U 238.03 U.upf
Ta 180.95 Ta.upf
ATOMIC_POSITIONS angstrom
Mo -2.257 -0.660 4.294
Mo -0.752 -0.220 1.431
U -1.668 1.514 -0.644
Ta -3.172 1.074 2.219
CELL_PARAMETERS angstrom
-0.427 3.274 0.278
-2.909 -0.246 -1.567
-3.009 -0.879 5.726
```

Values from the calculation:
ρ, kg/m3: 14156
Magnetic moment, μB/cell: 0.72
Space group: No. 123



Which structure is most stable? *P*, by 18 meV per atom over the runner-up.



*P*
## TaVMo6 (GGA-PBE)

Data for TaVMo6 after structural relaxation. Values from VASP.

Cell and atoms, written as Quantum ESPRESSO input:
```
&SYSTEM
  ibrav = 0, nat = 8, ntyp = 3
/
ATOMIC_SPECIES
Ta 180.95 Ta.upf
V 50.94 V.upf
Mo 95.94 Mo.upf
ATOMIC_POSITIONS angstrom
Ta 0.000 0.000 0.000
V 1.364 1.522 1.721
Mo 0.016 3.383 0.436
Mo 0.016 0.018 3.411
Mo 2.711 -0.340 3.006
Mo -0.634 2.658 3.006
Mo 2.711 3.025 0.032
Mo 3.361 0.386 0.436
CELL_PARAMETERS angstrom
5.457 -0.774 -0.875
-1.365 5.340 -0.875
-1.365 -1.523 5.192
```

Values from the calculation:
ρ, kg/m3: 10360
Magnetic moment, μB/cell: 0.00
Space group: No. 166



*Q*
## TaVMo6 (GGA-PBE)

Data for TaVMo6 after structural relaxation. Values from VASP.

Cell and atoms, written as Quantum ESPRESSO input:
```
&SYSTEM
  ibrav = 0, nat = 8, ntyp = 3
/
ATOMIC_SPECIES
Ta 180.95 Ta.upf
V 50.94 V.upf
Mo 95.94 Mo.upf
ATOMIC_POSITIONS angstrom
Ta 0.532 -3.709 -1.476
V 2.728 -3.594 2.427
Mo 0.517 -2.705 1.074
Mo 2.743 -4.598 -0.123
Mo 0.541 -0.956 -1.562
Mo 2.813 -2.888 -2.783
Mo 2.780 -1.864 -0.213
Mo 0.575 -1.979 -4.132
CELL_PARAMETERS angstrom
-2.290 -3.574 1.393
0.030 -2.008 -5.100
4.422 -1.778 2.706
```

Values from the calculation:
ρ, kg/m3: 10609
Magnetic moment, μB/cell: 0.00
Space group: No. 65



Which structure is most stable? *Q*, by 306 meV per atom over the runner-up.



*P*
## Ta3VMo (GGA-PBE)

Data for Ta3VMo after structural relaxation. Values from VASP.

Cell and atoms, written as Quantum ESPRESSO input:
```
&SYSTEM
  ibrav = 0, nat = 5, ntyp = 3
/
ATOMIC_SPECIES
Mo 95.94 Mo.upf
Ta 180.95 Ta.upf
V 50.94 V.upf
ATOMIC_POSITIONS angstrom
Mo 2.297 2.297 2.297
Ta 0.000 2.297 0.000
Ta 0.000 0.000 2.297
Ta 2.297 0.000 0.000
V 0.000 0.000 0.000
CELL_PARAMETERS angstrom
4.594 0.000 0.000
0.000 4.594 0.000
0.000 0.000 4.594
```

Values from the calculation:
ρ, kg/m3: 11815
Magnetic moment, μB/cell: 0.00
Space group: No. 221



*Q*
## Ta3VMo (GGA-PBE)

Data for Ta3VMo after structural relaxation. Values from VASP.

Cell and atoms, written as Quantum ESPRESSO input:
```
&SYSTEM
  ibrav = 0, nat = 20, ntyp = 3
/
ATOMIC_SPECIES
Ta 180.95 Ta.upf
V 50.94 V.upf
Mo 95.94 Mo.upf
ATOMIC_POSITIONS angstrom
Ta -0.343 -1.746 4.691
Ta -3.218 -5.442 -0.042
Ta -2.865 -1.309 2.886
Ta -0.290 -1.486 1.491
Ta -1.892 -4.895 4.950
Ta -4.413 -4.458 3.146
Ta -1.808 -3.925 7.431
Ta -2.948 -2.279 0.405
Ta -1.538 -0.761 7.878
Ta -4.466 -4.718 6.345
Ta -2.467 0.378 5.309
Ta -2.290 -6.581 2.527
V -5.477 -2.057 2.929
V -0.787 0.491 3.288
V 0.720 -4.146 4.908
V -3.970 -6.695 4.548
Mo -1.442 -3.976 2.576
Mo -3.315 -2.228 5.261
Mo 1.900 -0.464 7.032
Mo -6.657 -5.739 0.804
CELL_PARAMETERS angstrom
-4.607 1.821 2.726
-3.869 -7.345 -1.633
3.721 -0.680 6.744
```

Values from the calculation:
ρ, kg/m3: 13036
Magnetic moment, μB/cell: 0.00
Space group: No. 14



*R*
## Ta3VMo (GGA-PBE)

Data for Ta3VMo after structural relaxation. Values from VASP.

Cell and atoms, written as Quantum ESPRESSO input:
```
&SYSTEM
  ibrav = 0, nat = 10, ntyp = 3
/
ATOMIC_SPECIES
Ta 180.95 Ta.upf
V 50.94 V.upf
Mo 95.94 Mo.upf
ATOMIC_POSITIONS angstrom
Ta -4.670 -3.679 4.814
Ta 0.502 -1.122 0.717
Ta -3.906 0.609 3.425
Ta -0.261 -5.411 2.105
Ta -0.610 -2.472 3.381
Ta -3.558 -2.329 2.149
V -1.239 -3.234 0.719
V -2.928 -1.568 4.812
Mo -2.489 -4.527 3.463
Mo -1.679 -0.275 2.068
CELL_PARAMETERS angstrom
-2.627 -2.774 -2.502
2.208 -4.446 2.611
-3.749 2.418 5.422
```

Values from the calculation:
ρ, kg/m3: 13585
Magnetic moment, μB/cell: 0.00
Space group: No. 12



Which structure is most stable? *R*, by 348 meV per atom over the runner-up.



*P*
## TaVMo3 (GGA-PBE)

Data for TaVMo3 after structural relaxation. Values from VASP.

Cell and atoms, written as Quantum ESPRESSO input:
```
&SYSTEM
  ibrav = 0, nat = 5, ntyp = 3
/
ATOMIC_SPECIES
Mo 95.94 Mo.upf
Ta 180.95 Ta.upf
V 50.94 V.upf
ATOMIC_POSITIONS angstrom
Mo 0.000 2.371 0.000
Mo 0.000 0.000 2.371
Mo 2.371 0.000 0.000
Ta 0.000 0.000 0.000
V 2.371 2.371 2.371
CELL_PARAMETERS angstrom
4.741 0.000 0.000
0.000 4.741 0.000
0.000 0.000 4.741
```

Values from the calculation:
ρ, kg/m3: 8098
Magnetic moment, μB/cell: 2.82
Space group: No. 221



*Q*
## TaVMo3 (GGA-PBE)

Data for TaVMo3 after structural relaxation. Values from VASP.

Cell and atoms, written as Quantum ESPRESSO input:
```
&SYSTEM
  ibrav = 0, nat = 10, ntyp = 3
/
ATOMIC_SPECIES
Ta 180.95 Ta.upf
V 50.94 V.upf
Mo 95.94 Mo.upf
ATOMIC_POSITIONS angstrom
Ta -5.740 -0.712 3.180
Ta -8.061 0.018 7.599
V -7.057 2.649 6.250
V -3.392 -2.329 1.570
Mo -6.077 2.298 3.924
Mo -3.661 0.136 1.085
Mo -5.385 0.166 5.869
Mo -1.250 -0.759 0.719
Mo -8.056 0.837 4.669
Mo -3.673 1.351 3.538
CELL_PARAMETERS angstrom
-4.817 2.133 0.697
-4.091 -2.991 1.663
-1.968 1.618 7.157
```

Values from the calculation:
ρ, kg/m3: 10600
Magnetic moment, μB/cell: 0.00
Space group: No. 1



*R*
## TaVMo3 (GGA-PBE)

Data for TaVMo3 after structural relaxation. Values from VASP.

Cell and atoms, written as Quantum ESPRESSO input:
```
&SYSTEM
  ibrav = 0, nat = 5, ntyp = 3
/
ATOMIC_SPECIES
Mo 95.94 Mo.upf
Ta 180.95 Ta.upf
V 50.94 V.upf
ATOMIC_POSITIONS angstrom
Mo 0.000 2.244 0.000
Mo 0.000 0.000 2.244
Mo 2.244 0.000 0.000
Ta 2.244 2.244 2.244
V 0.000 0.000 0.000
CELL_PARAMETERS angstrom
4.489 0.000 0.000
0.000 4.489 0.000
0.000 0.000 4.489
```

Values from the calculation:
ρ, kg/m3: 9543
Magnetic moment, μB/cell: 0.00
Space group: No. 221



Which structure is most stable? *Q*, by 1006 meV per atom over the runner-up.



*P*
## Ta2VMo2 (GGA-PBE)

Data for Ta2VMo2 after structural relaxation. Values from VASP.

Cell and atoms, written as Quantum ESPRESSO input:
```
&SYSTEM
  ibrav = 0, nat = 10, ntyp = 3
/
ATOMIC_SPECIES
Ta 180.95 Ta.upf
V 50.94 V.upf
Mo 95.94 Mo.upf
ATOMIC_POSITIONS angstrom
Ta 3.551 -1.323 -0.186
Ta 1.965 -1.962 2.192
Ta 1.714 0.985 1.713
Ta 3.801 -4.270 0.292
V 0.717 -4.937 0.268
V 1.276 -3.217 -1.281
Mo 4.451 -2.667 2.307
Mo 1.065 -0.618 -0.301
Mo 2.666 -5.610 -1.606
Mo 2.850 2.326 3.611
CELL_PARAMETERS angstrom
-1.119 -3.439 3.098
3.112 -4.714 -4.111
3.522 4.870 3.018
```

Values from the calculation:
ρ, kg/m3: 11542
Magnetic moment, μB/cell: 0.00
Space group: No. 72



*Q*
## Ta2VMo2 (GGA-PBE)

Data for Ta2VMo2 after structural relaxation. Values from VASP.

Cell and atoms, written as Quantum ESPRESSO input:
```
&SYSTEM
  ibrav = 0, nat = 10, ntyp = 3
/
ATOMIC_SPECIES
Ta 180.95 Ta.upf
V 50.94 V.upf
Mo 95.94 Mo.upf
ATOMIC_POSITIONS angstrom
Ta 3.606 2.321 5.426
Ta 3.606 4.143 2.925
Ta 1.202 2.796 -0.223
Ta 1.202 0.974 2.278
V 0.000 0.000 0.000
V 2.404 0.000 0.000
Mo 3.606 2.020 1.288
Mo 1.202 0.692 4.943
Mo 1.202 3.097 3.914
Mo 3.606 4.426 0.259
CELL_PARAMETERS angstrom
4.808 0.000 0.000
0.000 4.889 -2.091
0.000 0.229 7.294
```

Values from the calculation:
ρ, kg/m3: 11559
Magnetic moment, μB/cell: 0.00
Space group: No. 63



Which structure is most stable? *Q*, by 19 meV per atom over the runner-up.



*P*
## Ta2VMo3 (GGA-PBE)

Data for Ta2VMo3 after structural relaxation. Values from VASP.

Cell and atoms, written as Quantum ESPRESSO input:
```
&SYSTEM
  ibrav = 0, nat = 6, ntyp = 3
/
ATOMIC_SPECIES
Ta 180.95 Ta.upf
V 50.94 V.upf
Mo 95.94 Mo.upf
ATOMIC_POSITIONS angstrom
Ta 1.594 1.594 7.894
Ta 1.594 1.594 1.623
V 1.594 1.594 4.758
Mo 0.000 0.000 0.000
Mo 0.000 0.000 6.257
Mo 0.000 0.000 3.259
CELL_PARAMETERS angstrom
3.188 0.000 0.000
0.000 3.188 0.000
0.000 0.000 9.516
```

Values from the calculation:
ρ, kg/m3: 12029
Magnetic moment, μB/cell: 0.00
Space group: No. 123



*Q*
## Ta2VMo3 (GGA-PBE)

Data for Ta2VMo3 after structural relaxation. Values from VASP.

Cell and atoms, written as Quantum ESPRESSO input:
```
&SYSTEM
  ibrav = 0, nat = 12, ntyp = 3
/
ATOMIC_SPECIES
Ta 180.95 Ta.upf
V 50.94 V.upf
Mo 95.94 Mo.upf
ATOMIC_POSITIONS angstrom
Ta 4.714 0.994 3.116
Ta 1.336 3.343 -0.026
Ta 6.721 2.432 4.140
Ta 3.343 4.781 0.999
V 5.717 4.823 -0.738
V 2.339 0.952 4.852
Mo 2.339 2.466 2.727
Mo 5.717 3.309 1.387
Mo 1.154 4.996 2.751
Mo 3.525 1.617 0.344
Mo 4.532 4.158 3.771
Mo 6.903 0.779 1.364
CELL_PARAMETERS angstrom
6.757 -0.148 -0.105
0.650 5.300 -1.173
0.650 0.623 5.393
```

Values from the calculation:
ρ, kg/m3: 11693
Magnetic moment, μB/cell: 0.00
Space group: No. 15



Which structure is most stable? *P*, by 368 meV per atom over the runner-up.



*P*
## Ta2V2Mo3 (GGA-PBE)

Data for Ta2V2Mo3 after structural relaxation. Values from VASP.

Cell and atoms, written as Quantum ESPRESSO input:
```
&SYSTEM
  ibrav = 0, nat = 7, ntyp = 3
/
ATOMIC_SPECIES
Ta 180.95 Ta.upf
V 50.94 V.upf
Mo 95.94 Mo.upf
ATOMIC_POSITIONS angstrom
Ta 2.233 0.459 1.498
Ta 0.000 3.513 3.973
V 0.000 0.898 3.062
V 2.233 3.075 2.409
Mo 0.000 2.555 0.951
Mo 0.000 0.000 0.000
Mo 2.233 1.417 4.520
CELL_PARAMETERS angstrom
4.467 0.000 0.000
-2.233 4.751 0.302
0.000 -0.779 5.168
```

Values from the calculation:
ρ, kg/m3: 11270
Magnetic moment, μB/cell: 0.00
Space group: No. 12



*Q*
## Ta2V2Mo3 (GGA-PBE)

Data for Ta2V2Mo3 after structural relaxation. Values from VASP.

Cell and atoms, written as Quantum ESPRESSO input:
```
&SYSTEM
  ibrav = 0, nat = 14, ntyp = 3
/
ATOMIC_SPECIES
Ta 180.95 Ta.upf
V 50.94 V.upf
Mo 95.94 Mo.upf
ATOMIC_POSITIONS angstrom
Ta 2.103 1.849 1.487
Ta 0.000 0.000 2.265
Ta 3.689 0.897 -0.755
Ta 3.720 2.746 -2.997
V 3.170 5.492 1.658
V 0.275 5.015 0.195
V -1.310 3.222 2.436
V 1.035 2.746 4.678
Mo 2.558 3.807 -0.255
Mo -0.973 4.431 -1.987
Mo 1.153 4.119 2.497
Mo 5.188 1.373 1.987
Mo 1.766 0.312 4.229
Mo -0.180 2.434 0.255
CELL_PARAMETERS angstrom
6.341 0.000 -2.242
-3.171 5.492 -2.242
0.000 0.000 6.726
```

Values from the calculation:
ρ, kg/m3: 10657
Magnetic moment, μB/cell: 0.00
Space group: No. 199



Which structure is most stable? *P*, by 511 meV per atom over the runner-up.